Record 1
VASP calculation (PBE) on crystalline ThZr2Sb at its relaxed geometry.

Lattice parameters (Å, degrees): 5.1355 5.1355 5.1355 60.00 60.00 60.00
Fractional positions:
Th  0.0000  0.0000  0.0000
Zr  0.2500  0.2500  0.2500
Zr  0.7500  0.7500  0.7500
Sb  0.5000  0.5000  0.5000

Values from the calculation:
SG   No. 225
Energy   -7.41 eV per atom
Energy above the lowest structure with this stoichiometry   138.5 meV/atom


Record 2
VASP calculation (PBE) on crystalline Th2ZrSb3 at its relaxed geometry.

Lattice parameters (Å, degrees): 7.5485 7.5485 7.5485 145.89 131.12 60.95
Fractional positions:
Th  0.1730  0.1730  0.0000
Th  0.8270  0.8270  0.0000
Zr  0.5000  0.5000  0.0000
Sb  0.0000  0.5000  0.5000
Sb  0.3470  0.8470  0.5000
Sb  0.6530  0.1530  0.5000

Values from the calculation:
SG   No. 71
Energy   -6.71 eV per atom


Record 3
VASP calculation (PBE) on crystalline Th3Zr2Sb3 at its relaxed geometry.

Lattice parameters (Å, degrees): 7.3337 7.3337 15.5790 90.00 90.00 147.45
Fractional positions:
Th  0.0570  0.9430  0.6195
Th  0.0570  0.9430  0.8805
Th  0.3450  0.6550  0.7500
Th  0.6550  0.3450  0.2500
Th  0.9430  0.0570  0.1195
Th  0.9430  0.0570  0.3805
Zr  0.2398  0.7602  0.0801
Zr  0.2398  0.7602  0.4199
Zr  0.7602  0.2398  0.5801
Zr  0.7602  0.2398  0.9199
Sb  0.3384  0.6616  0.2500
Sb  0.3975  0.6025  0.5457
Sb  0.3975  0.6025  0.9543
Sb  0.6025  0.3975  0.0457
Sb  0.6025  0.3975  0.4543
Sb  0.6616  0.3384  0.7500

Values from the calculation:
SG   No. 63
Energy   -7.10 eV per atom
Energy above the lowest structure with this stoichiometry   38.7 meV/atom


Record 4
VASP calculation (PBE) on crystalline ThZrSb3 at its relaxed geometry.

Lattice parameters (Å, degrees): 13.4839 6.4708 6.3664 90.00 90.00 90.00
Fractional positions:
Th  0.1805  0.0066  0.2500
Th  0.1805  0.4934  0.7500
Th  0.8195  0.5066  0.2500
Th  0.8195  0.9934  0.7500
Zr  0.4125  0.7500  0.0000
Zr  0.4125  0.7500  0.5000
Zr  0.5875  0.2500  0.0000
Zr  0.5875  0.2500  0.5000
Sb  0.0017  0.7500  0.0000
Sb  0.0017  0.7500  0.5000
Sb  0.2564  0.5117  0.2500
Sb  0.2564  0.9883  0.7500
Sb  0.4172  0.1215  0.2500
Sb  0.4172  0.3785  0.7500
Sb  0.5828  0.6215  0.2500
Sb  0.5828  0.8785  0.7500
Sb  0.7436  0.0117  0.2500
Sb  0.7436  0.4883  0.7500
Sb  0.9983  0.2500  0.0000
Sb  0.9983  0.2500  0.5000

Values from the calculation:
SG   No. 57
Energy   -6.35 eV per atom


Record 5
VASP calculation (PBE) on crystalline Ti2Sb3 at its relaxed geometry.

Lattice parameters (Å, degrees): 6.6121 3.6621 10.3778 90.00 107.87 90.00
Fractional positions:
Ti  0.0956  0.2500  0.1482
Ti  0.2441  0.2500  0.4928
Ti  0.7559  0.7500  0.5072
Ti  0.9044  0.7500  0.8518
Sb  0.0279  0.2500  0.6875
Sb  0.3094  0.7500  0.0279
Sb  0.4925  0.7500  0.6717
Sb  0.5075  0.2500  0.3283
Sb  0.6906  0.2500  0.9721
Sb  0.9721  0.7500  0.3125

Values from the calculation:
SG   No. 11
Energy   -5.87 eV per atom


Record 6
VASP calculation (PBE) on crystalline Ti13Sb2 at its relaxed geometry.

Lattice parameters (Å, degrees): 8.3527 8.3527 8.3527 50.74 50.74 50.74
Fractional positions:
Ti  0.0000  0.0000  0.0000
Ti  0.1180  0.1180  0.4977
Ti  0.1180  0.4977  0.1180
Ti  0.2421  0.2421  0.6160
Ti  0.2421  0.6160  0.2421
Ti  0.3840  0.7579  0.7579
Ti  0.4977  0.1180  0.1180
Ti  0.5023  0.8820  0.8820
Ti  0.6160  0.2421  0.2421
Ti  0.7579  0.3840  0.7579
Ti  0.7579  0.7579  0.3840
Ti  0.8820  0.5023  0.8820
Ti  0.8820  0.8820  0.5023
Sb  0.1371  0.1371  0.1371
Sb  0.8629  0.8629  0.8629

Values from the calculation:
SG   No. 166
Energy   -7.07 eV per atom


Record 7
VASP calculation (PBE) on crystalline Ti3Sb at its relaxed geometry.

Lattice parameters (Å, degrees): 7.9191 7.9191 7.9191 96.31 96.31 141.28
Fractional positions:
Ti  0.0760  0.7834  0.8594
Ti  0.2166  0.0760  0.2926
Ti  0.2500  0.2500  0.0000
Ti  0.2500  0.7500  0.5000
Ti  0.2834  0.5760  0.8594
Ti  0.4240  0.2834  0.7074
Ti  0.5760  0.7166  0.2926
Ti  0.7166  0.4240  0.1406
Ti  0.7500  0.2500  0.5000
Ti  0.7500  0.7500  0.0000
Ti  0.7834  0.9240  0.7074
Ti  0.9240  0.2166  0.1406
Sb  0.1626  0.3374  0.5000
Sb  0.3374  0.8374  0.1748
Sb  0.6626  0.1626  0.8252
Sb  0.8374  0.6626  0.5000

Values from the calculation:
SG   No. 140
Energy   -7.28 eV per atom


Record 8
VASP calculation (PBE) on crystalline Ti3Sb at its relaxed geometry.

Lattice parameters (Å, degrees): 5.2154 5.2154 5.2154 90.00 90.00 90.00
Fractional positions:
Ti  0.0000  0.2500  0.5000
Ti  0.0000  0.7500  0.5000
Ti  0.2500  0.5000  0.0000
Ti  0.5000  0.0000  0.2500
Ti  0.5000  0.0000  0.7500
Ti  0.7500  0.5000  0.0000
Sb  0.0000  0.0000  0.0000
Sb  0.5000  0.5000  0.5000

Values from the calculation:
SG   No. 223
Energy   -7.33 eV per atom


Record 9
VASP calculation (PBE) on crystalline TiSb2 at its relaxed geometry.

Lattice parameters (Å, degrees): 5.5699 5.5699 5.5699 105.64 105.64 117.44
Fractional positions:
Ti  0.2500  0.2500  0.0000
Ti  0.7500  0.7500  0.0000
Sb  0.1528  0.6528  0.8055
Sb  0.3472  0.1528  0.5000
Sb  0.6528  0.8472  0.5000
Sb  0.8472  0.3472  0.1945

Values from the calculation:
SG   No. 140
Energy   -5.77 eV per atom


Record 10
VASP calculation (PBE) on crystalline Ti4Sb3 at its relaxed geometry.

Lattice parameters (Å, degrees): 7.1112 7.1112 7.1112 109.47 109.47 109.47
Fractional positions:
Ti  0.0000  0.3371  0.5000
Ti  0.0000  0.8371  0.5000
Ti  0.1629  0.1629  0.1629
Ti  0.3371  0.5000  0.0000
Ti  0.5000  0.0000  0.3371
Ti  0.5000  0.0000  0.8371
Ti  0.6629  0.6629  0.6629
Ti  0.8371  0.5000  0.0000
Sb  0.1250  0.7500  0.8750
Sb  0.2500  0.6250  0.3750
Sb  0.3750  0.2500  0.6250
Sb  0.6250  0.3750  0.2500
Sb  0.7500  0.8750  0.1250
Sb  0.8750  0.1250  0.7500

Values from the calculation:
SG   No. 220
Energy   -6.75 eV per atom


Record 11
VASP calculation (PBE) on crystalline Ti5Sb2 at its relaxed geometry.

Lattice parameters (Å, degrees): 7.1652 7.1652 7.4699 92.49 92.49 43.70
Fractional positions:
Ti  0.1196  0.3259  0.3002
Ti  0.2031  0.5517  0.0441
Ti  0.2079  0.7921  0.7500
Ti  0.3259  0.1196  0.8002
Ti  0.4483  0.7969  0.4559
Ti  0.5517  0.2031  0.5441
Ti  0.6741  0.8804  0.1998
Ti  0.7921  0.2079  0.2500
Ti  0.7969  0.4483  0.9559
Ti  0.8804  0.6741  0.6998
Sb  0.1008  0.7119  0.4137
Sb  0.2881  0.8992  0.0863
Sb  0.7119  0.1008  0.9137
Sb  0.8992  0.2881  0.5863

Values from the calculation:
SG   No. 15
Energy   -7.09 eV per atom


Record 12
VASP calculation (PBE) on crystalline TiSb2 at its relaxed geometry.

Lattice parameters (Å, degrees): 6.5555 7.2198 3.1574 90.00 90.00 90.00
Fractional positions:
Ti  0.0000  0.0000  0.0000
Ti  0.5000  0.5000  0.5000
Sb  0.1705  0.3636  0.0000
Sb  0.3295  0.8636  0.5000
Sb  0.6705  0.1364  0.5000
Sb  0.8295  0.6364  0.0000

Values from the calculation:
SG   No. 58
Energy   -5.54 eV per atom


Record 13
VASP calculation (PBE) on crystalline Ti3Sb4 at its relaxed geometry.

Lattice parameters (Å, degrees): 7.0268 7.0268 5.6694 103.59 103.59 35.85
Fractional positions:
Ti  0.0000  0.0000  0.0000
Ti  0.2066  0.2066  0.3539
Ti  0.7934  0.7934  0.6461
Sb  0.1736  0.1736  0.8240
Sb  0.4357  0.4357  0.6765
Sb  0.5643  0.5643  0.3235
Sb  0.8264  0.8264  0.1760

Values from the calculation:
SG   No. 12
Energy   -6.08 eV per atom


Record 14
VASP calculation (PBE) on crystalline Ti5Sb at its relaxed geometry.

Lattice parameters (Å, degrees): 6.8897 6.8897 4.0013 90.00 90.00 145.85
Fractional positions:
Ti  0.0000  0.0000  0.0000
Ti  0.1721  0.8279  0.5000
Ti  0.3288  0.6712  0.0000
Ti  0.6712  0.3288  0.0000
Ti  0.8279  0.1721  0.5000
Sb  0.5000  0.5000  0.5000

Values from the calculation:
SG   No. 65
Energy   -7.50 eV per atom


Record 15
VASP calculation (PBE) on crystalline Ti13Sb3 at its relaxed geometry.

Lattice parameters (Å, degrees): 4.7452 5.7099 10.4367 90.00 90.00 90.00
Fractional positions:
Ti  0.0000  0.0000  0.0000
Ti  0.0000  0.0000  0.4878
Ti  0.0000  0.2377  0.7423
Ti  0.0000  0.2552  0.2569
Ti  0.0000  0.5000  0.5001
Ti  0.0000  0.7448  0.2569
Ti  0.0000  0.7623  0.7423
Ti  0.5000  0.0000  0.6409
Ti  0.5000  0.2383  0.8957
Ti  0.5000  0.2563  0.3960
Ti  0.5000  0.5000  0.1439
Ti  0.5000  0.7437  0.3960
Ti  0.5000  0.7617  0.8957
Sb  0.0000  0.5000  0.9874
Sb  0.5000  0.0000  0.1529
Sb  0.5000  0.5000  0.6549

Values from the calculation:
SG   No. 25
Energy   -7.44 eV per atom


Record 16
VASP calculation (PBE) on crystalline Ti3Sb at its relaxed geometry.

Lattice parameters (Å, degrees): 5.1977 5.1977 5.1977 133.84 133.84 67.34
Fractional positions:
Ti  0.0000  0.0000  0.0000
Ti  0.2500  0.7500  0.5000
Ti  0.7500  0.2500  0.5000
Sb  0.5000  0.5000  0.0000

Values from the calculation:
SG   No. 139
Energy   -7.28 eV per atom


Record 17
VASP calculation (PBE) on crystalline Ti3Sb at its relaxed geometry.

Lattice parameters (Å, degrees): 4.1507 4.1507 4.1507 90.00 90.00 90.00
Fractional positions:
Ti  0.0000  0.0000  0.5000
Ti  0.0000  0.5000  0.0000
Ti  0.5000  0.0000  0.0000
Sb  0.5000  0.5000  0.5000

Values from the calculation:
SG   No. 221
Energy   -7.29 eV per atom


Record 18
VASP calculation (PBE) on crystalline Ti2TlSb2 at its relaxed geometry.

Lattice parameters (Å, degrees): 7.6670 7.6670 3.6978 90.00 90.00 90.00
Fractional positions:
Ti  0.1389  0.3611  0.0000
Ti  0.3611  0.8611  0.0000
Ti  0.6389  0.1389  0.0000
Ti  0.8611  0.6389  0.0000
Tl  0.0000  0.0000  0.0000
Tl  0.5000  0.5000  0.0000
Sb  0.1525  0.6525  0.5000
Sb  0.3475  0.1525  0.5000
Sb  0.6525  0.8475  0.5000
Sb  0.8475  0.3475  0.5000

Values from the calculation:
SG   No. 127
Energy   -5.52 eV per atom
Energy above the lowest structure with this stoichiometry   0.0 meV/atom


Record 19
VASP calculation (PBE) on crystalline TiTlSb at its relaxed geometry.

Lattice parameters (Å, degrees): 4.4299 4.4299 8.6448 90.00 90.00 90.00
Fractional positions:
Ti  0.2500  0.7500  0.0000
Ti  0.7500  0.2500  0.0000
Tl  0.2500  0.2500  0.3496
Tl  0.7500  0.7500  0.6504
Sb  0.2500  0.2500  0.8052
Sb  0.7500  0.7500  0.1948

Values from the calculation:
SG   No. 129
Energy   -4.92 eV per atom


Record 20
VASP calculation (PBE) on crystalline Ti12Tl3Sb at its relaxed geometry.

Lattice parameters (Å, degrees): 5.2471 5.2482 10.4911 90.00 90.00 90.00
Fractional positions:
Ti  0.0000  0.0000  0.1227
Ti  0.0000  0.0000  0.3730
Ti  0.0000  0.0000  0.6270
Ti  0.0000  0.0000  0.8773
Ti  0.2499  0.5000  0.2530
Ti  0.2499  0.5000  0.7470
Ti  0.5000  0.2493  0.0000
Ti  0.5000  0.2501  0.5000
Ti  0.5000  0.7499  0.5000
Ti  0.5000  0.7507  0.0000
Ti  0.7501  0.5000  0.2530
Ti  0.7501  0.5000  0.7470
Tl  0.0000  0.5000  0.0000
Tl  0.5000  0.0000  0.2498
Tl  0.5000  0.0000  0.7502
Sb  0.0000  0.5000  0.5000

Values from the calculation:
SG   No. 47
Energy   -6.72 eV per atom